1.
Li3Sm2DySe6: optimized geometry, GGA-PBE.

a = 7.149 Å, b = 12.383 Å, c = 6.935 Å
α = 90.00°, β = 110.10°, γ = 90.00°
Space group C2/m (No. 12)
Unique sites:
Li: 0.000 0.000 0.000 (multiplicity 2)
Li: 0.000 0.335 0.000 (multiplicity 4)
Sm: 0.000 0.167 0.500 (multiplicity 4)
Dy: 0.000 0.500 0.500 (multiplicity 2)
Se: 0.243 0.500 0.245 (multiplicity 4)
Se: 0.250 0.164 0.244 (multiplicity 8)

Results
ΔE_f (raw) ... -1683 meV/atom
Uncorrected energy ... -5.0740 eV per atom



2.
LiSm2DySe4: optimized geometry, GGA-PBE.

a = 7.093 Å, b = 4.098 Å, c = 7.114 Å
α = 90.00°, β = 109.32°, γ = 90.00°
Space group P2/m (No. 10)
Unique sites:
Li: 0.000 0.000 0.000 (multiplicity 1)
Sm: 0.000 0.500 0.500 (multiplicity 1)
Sm: 0.500 0.000 0.500 (multiplicity 1)
Dy: 0.500 0.500 0.000 (multiplicity 1)
Se: 0.242 0.500 0.237 (multiplicity 2)
Se: 0.248 0.000 0.763 (multiplicity 2)

Results
ΔE_f (raw) ... -1757 meV/atom
Uncorrected energy ... -5.4939 eV per atom



3.
Li3SmDy2Se6: optimized geometry, GGA-PBE.

a = 7.099 Å, b = 12.298 Å, c = 6.921 Å
α = 90.00°, β = 109.97°, γ = 90.00°
Space group C2/m (No. 12)
Unique sites:
Li: 0.000 0.000 0.000 (multiplicity 2)
Li: 0.000 0.333 0.000 (multiplicity 4)
Sm: 0.000 0.500 0.500 (multiplicity 2)
Dy: 0.000 0.167 0.500 (multiplicity 4)
Se: 0.246 0.000 0.755 (multiplicity 4)
Se: 0.246 0.169 0.246 (multiplicity 8)

Results
ΔE_f (raw) ... -1690 meV/atom
Uncorrected energy ... -5.0712 eV per atom



4.
Li4Sm3DySe8: optimized geometry, GGA-PBE.

a = 8.2705 Å, b = 8.2705 Å, c = 19.5530 Å
α = 90.00°, β = 90.00°, γ = 120.00°
Space group R-3m (No. 166, hexagonal axes)
Unique sites:
Li: 0.0000 0.0000 0.0000 (multiplicity 3)
Li: 0.0000 0.5000 0.0000 (multiplicity 9)
Sm: 0.0000 0.5000 0.5000 (multiplicity 9)
Dy: 0.0000 0.0000 0.5000 (multiplicity 3)
Se: 0.0000 0.0000 0.2527 (multiplicity 6)
Se: 0.0049 0.5024 0.2519 (multiplicity 18)

Results
ΔE_f (raw) ... -1681 meV/atom
Uncorrected energy ... -5.0743 eV per atom



5.
Li2SmDy3Se6: optimized geometry, GGA-PBE.

a = 7.027 Å, b = 12.166 Å, c = 7.056 Å
α = 90.00°, β = 109.47°, γ = 90.00°
Space group C2/m (No. 12)
Unique sites:
Li: 0.000 0.169 0.000 (multiplicity 4)
Sm: 0.000 0.500 0.000 (multiplicity 2)
Dy: 0.000 0.000 0.500 (multiplicity 2)
Dy: 0.000 0.335 0.500 (multiplicity 4)
Se: 0.239 0.000 0.246 (multiplicity 4)
Se: 0.247 0.171 0.753 (multiplicity 8)

Results
ΔE_f (raw) ... -1732 meV/atom
Uncorrected energy ... -5.3374 eV per atom



6.
LiSm3Dy3Se8: optimized geometry, GGA-PBE.

a = 8.1830 Å, b = 8.1830 Å, c = 20.1398 Å
α = 90.00°, β = 90.00°, γ = 120.00°
Space group R-3m (No. 166, hexagonal axes)
Unique sites:
Li: 0.0000 0.0000 0.0000 (multiplicity 3)
Sm: 0.0000 0.5000 0.5000 (multiplicity 9)
Dy: 0.0000 0.5000 0.0000 (multiplicity 9)
Se: 0.0000 0.0000 0.2525 (multiplicity 6)
Se: 0.0016 0.5008 0.7470 (multiplicity 18)

Results
ΔE_f (raw) ... -1804 meV/atom
Uncorrected energy ... -5.6538 eV per atom